(1)
Computed, not measured: crystalline LaFeAs at its relaxed geometry at the GGA-PBEsol level of DFT.

Cell: 6.5067 6.5067 6.5067 Å, 90.00 90.00 90.00°
Space group F-43m (No. 216)
Symmetry-distinct sites (fractional):
1 La 0.0000 0.0000 0.0000 [4 per cell]
2 Fe 0.0000 0.0000 0.5000 [4 per cell]
3 As 0.2500 0.2500 0.2500 [4 per cell]

* ΔE_f: -0.18 eV/atom
* electronic total energy: -0.245 hartree per atom

(2)
Computed, not measured: crystalline As2OsW at its relaxed geometry at the GGA-PBEsol level of DFT.

Cell: 3.0535 5.0533 8.0801 Å, 90.00 90.00 90.00°
Space group Cmmm (No. 65)
Symmetry-distinct sites (fractional):
1 As 0.0000 0.0000 0.2464 [4 per cell]
2 Os 0.0000 0.5000 0.0000 [2 per cell]
3 W 0.0000 0.5000 0.5000 [2 per cell]

* energy relative to the lowest polymorph listed for this composition: 458 meV per atom
* ΔE_f: 0.68 eV/atom
* electronic total energy: -0.308 hartree per atom

(3)
Computed, not measured: crystalline Fe2MoIrRh at its relaxed geometry at the GGA-PBEsol level of DFT.

Cell: 4.3801 4.3801 4.4993 Å, 90.00 90.00 90.00°
Space group P4/mmm (No. 123)
Symmetry-distinct sites (fractional):
1 Fe 0.0000 0.5000 0.0000 [2 per cell]
2 Mo 0.0000 0.0000 0.5000 [1 per cell]
3 Ir 0.5000 0.5000 0.5000 [1 per cell]
4 Rh 0.0000 0.0000 0.0000 [1 per cell]

* ΔE_f: 1.72 eV/atom
* electronic total energy: -0.287 hartree per atom

(4)
Computed, not measured: crystalline ReMoW2 at its relaxed geometry at the GGA-PBEsol level of DFT.

Cell: 5.4304 8.8206 2.7147 Å, 90.00 109.71 90.00°
Space group C2/m (No. 12)
Symmetry-distinct sites (fractional):
1 Re 0.0000 0.0000 0.0000 [2 per cell]
2 Mo 0.0000 0.5000 0.0000 [2 per cell]
3 W 0.2500 0.2500 0.5000 [4 per cell]

* energy relative to the lowest polymorph listed for this composition: 32 meV per atom
* ΔE_f: 0.05 eV/atom
* electronic total energy: -0.483 hartree per atom

- electronic total energy of number 4 (ReMoW2)?
  -0.483 hartree per atom